Entry 1:
! Li5Zr2Zn12 | Alexandria via LeMat-Bulk | PBE | relaxed; values from VASP
! Total magnetic moment   0.0 μB/f.u.
! Formation energy   -0.161 eV/atom
&SYSTEM
  ibrav = 0, nat = 19, ntyp = 3
/
ATOMIC_SPECIES
Li 6.94 Li.upf
Zr 91.22 Zr.upf
Zn 65.41 Zn.upf
CELL_PARAMETERS angstrom
4.397 2.538 4.280
-4.397 2.538 4.280
0.000 -5.077 4.280
ATOMIC_POSITIONS crystal
Li 0.000 0.000 0.500
Li 0.000 0.500 0.000
Li 0.099 0.099 0.099
Li 0.500 0.000 0.000
Li 0.901 0.901 0.901
Zr 0.347 0.347 0.347
Zr 0.653 0.653 0.653
Zn 0.000 0.303 0.697
Zn 0.000 0.697 0.303
Zn 0.156 0.651 0.651
Zn 0.303 0.000 0.697
Zn 0.303 0.697 0.000
Zn 0.349 0.349 0.844
Zn 0.349 0.844 0.349
Zn 0.651 0.156 0.651
Zn 0.651 0.651 0.156
Zn 0.697 0.000 0.303
Zn 0.697 0.303 0.000
Zn 0.844 0.349 0.349

=====

Entry 2:
! Li2ZrZn6 | Alexandria via LeMat-Bulk | PBE | relaxed; values from VASP
! Total magnetic moment   0.0 μB/f.u.
! Formation energy   -0.187 eV/atom
&SYSTEM
  ibrav = 0, nat = 9, ntyp = 3
/
ATOMIC_SPECIES
Li 6.94 Li.upf
Zr 91.22 Zr.upf
Zn 65.41 Zn.upf
CELL_PARAMETERS angstrom
7.716 0.000 0.000
-3.858 6.682 0.000
0.000 0.000 2.846
ATOMIC_POSITIONS crystal
Li 0.333 0.667 0.000
Li 0.667 0.333 0.000
Zr 0.000 0.000 0.000
Zn 0.000 0.339 0.500
Zn 0.000 0.661 0.500
Zn 0.339 0.000 0.500
Zn 0.339 0.339 0.500
Zn 0.661 0.000 0.500
Zn 0.661 0.661 0.500

=====

Entry 3:
! LiZrZn2 | Alexandria via LeMat-Bulk | PBE | relaxed; values from VASP
! Offset from the most stable computed form   0.50 eV/f.u.
! Total magnetic moment   0.0 μB/f.u.
! Formation energy   -0.075 eV/atom
&SYSTEM
  ibrav = 0, nat = 4, ntyp = 3
/
ATOMIC_SPECIES
Li 6.94 Li.upf
Zr 91.22 Zr.upf
Zn 65.41 Zn.upf
CELL_PARAMETERS angstrom
-1.406 2.455 5.135
1.406 -2.455 5.135
1.406 2.455 -5.135
ATOMIC_POSITIONS crystal
Li 0.000 0.000 0.000
Zr 0.295 0.795 0.500
Zn 0.543 0.543 0.000
Zn 0.754 0.254 0.500

=====

Entry 4:
! LiZrZn2 | Alexandria via LeMat-Bulk | PBE | relaxed; values from VASP
! Offset from the most stable computed form   0.33 eV/f.u.
! Total magnetic moment   0.0 μB/f.u.
! Formation energy   -0.118 eV/atom
&SYSTEM
  ibrav = 0, nat = 4, ntyp = 3
/
ATOMIC_SPECIES
Li 6.94 Li.upf
Zr 91.22 Zr.upf
Zn 65.41 Zn.upf
CELL_PARAMETERS angstrom
0.000 3.171 3.171
3.171 0.000 3.171
3.171 3.171 0.000
ATOMIC_POSITIONS crystal
Li 0.000 0.000 0.000
Zr 0.250 0.250 0.250
Zn 0.500 0.500 0.500
Zn 0.750 0.750 0.750

=====

Entry 5:
! Li2ZrZn | Alexandria via LeMat-Bulk | PBE | relaxed; values from VASP
! Total magnetic moment   1.2 μB/f.u.
! Formation energy   0.148 eV/atom
&SYSTEM
  ibrav = 0, nat = 4, ntyp = 3
/
ATOMIC_SPECIES
Li 6.94 Li.upf
Zr 91.22 Zr.upf
Zn 65.41 Zn.upf
CELL_PARAMETERS angstrom
3.945 0.000 0.000
0.000 3.945 0.000
0.000 0.000 4.778
ATOMIC_POSITIONS crystal
Li 0.000 0.500 0.000
Li 0.500 0.000 0.000
Zr 0.000 0.000 0.500
Zn 0.500 0.500 0.500

=====

Entry 6:
! LiZr2Zn | Alexandria via LeMat-Bulk | PBE | relaxed; values from VASP
! Total magnetic moment   0.0 μB/f.u.
! Formation energy   0.265 eV/atom
&SYSTEM
  ibrav = 0, nat = 8, ntyp = 3
/
ATOMIC_SPECIES
Li 6.94 Li.upf
Zr 91.22 Zr.upf
Zn 65.41 Zn.upf
CELL_PARAMETERS angstrom
-3.808 3.808 2.697
3.808 -3.808 2.697
3.808 3.808 -2.697
ATOMIC_POSITIONS crystal
Li 0.000 0.000 0.000
Li 0.750 0.250 0.500
Zr 0.125 0.625 0.000
Zr 0.375 0.375 0.500
Zr 0.625 0.125 0.000
Zr 0.875 0.875 0.500
Zn 0.250 0.750 0.500
Zn 0.500 0.500 0.000

=====

Entry 7:
! LiZrZn2 | Alexandria via LeMat-Bulk | PBE | relaxed; values from VASP
! Offset from the most stable computed form   0.69 eV/f.u.
! Total magnetic moment   0.0 μB/f.u.
! Formation energy   -0.028 eV/atom
&SYSTEM
  ibrav = 0, nat = 4, ntyp = 3
/
ATOMIC_SPECIES
Li 6.94 Li.upf
Zr 91.22 Zr.upf
Zn 65.41 Zn.upf
CELL_PARAMETERS angstrom
3.189 0.000 0.000
0.000 3.189 0.000
0.000 0.000 6.603
ATOMIC_POSITIONS crystal
Li 0.000 0.000 0.000
Zr 0.500 0.500 0.698
Zn 0.000 0.000 0.427
Zn 0.500 0.500 0.191

=====

Entry 8:
! Li3ZrZn | Alexandria via LeMat-Bulk | PBE | relaxed; values from VASP
! Offset from the most stable computed form   0.00 eV/f.u.
! Total magnetic moment   0.9 μB/f.u.
! Formation energy   0.476 eV/atom
&SYSTEM
  ibrav = 0, nat = 5, ntyp = 3
/
ATOMIC_SPECIES
Li 6.94 Li.upf
Zr 91.22 Zr.upf
Zn 65.41 Zn.upf
CELL_PARAMETERS angstrom
4.522 0.000 0.000
0.000 4.522 0.000
0.000 0.000 4.522
ATOMIC_POSITIONS crystal
Li 0.000 0.000 0.500
Li 0.000 0.500 0.000
Li 0.500 0.000 0.000
Zr 0.500 0.500 0.500
Zn 0.000 0.000 0.000

=====

Entry 9:
! LiZrZn3 | Alexandria via LeMat-Bulk | PBE | relaxed; values from VASP
! Offset from the most stable computed form   3.31 eV/f.u.
! Total magnetic moment   0.8 μB/f.u.
! Formation energy   0.737 eV/atom
&SYSTEM
  ibrav = 0, nat = 5, ntyp = 3
/
ATOMIC_SPECIES
Li 6.94 Li.upf
Zr 91.22 Zr.upf
Zn 65.41 Zn.upf
CELL_PARAMETERS angstrom
5.308 0.000 0.000
0.000 5.308 0.000
0.000 0.000 5.308
ATOMIC_POSITIONS crystal
Li 0.000 0.000 0.000
Zr 0.500 0.500 0.500
Zn 0.000 0.500 0.500
Zn 0.500 0.000 0.500
Zn 0.500 0.500 0.000

=====

Entry 10:
! Li2ZrZn | Alexandria via LeMat-Bulk | PBE | relaxed; values from VASP
! Total magnetic moment   0.0 μB/f.u.
! Formation energy   0.067 eV/atom
&SYSTEM
  ibrav = 0, nat = 4, ntyp = 3
/
ATOMIC_SPECIES
Li 6.94 Li.upf
Zr 91.22 Zr.upf
Zn 65.41 Zn.upf
CELL_PARAMETERS angstrom
1.451 0.838 10.228
-1.451 0.838 10.228
0.000 -1.676 10.228
ATOMIC_POSITIONS crystal
Li 0.243 0.243 0.243
Li 0.757 0.757 0.757
Zr 0.000 0.000 0.000
Zn 0.500 0.500 0.500

=====

Entry 11:
! LiZrZn2 | Alexandria via LeMat-Bulk | PBE | relaxed; values from VASP
! Offset from the most stable computed form   0.05 eV/f.u.
! Total magnetic moment   0.0 μB/f.u.
! Formation energy   -0.188 eV/atom
&SYSTEM
  ibrav = 0, nat = 4, ntyp = 3
/
ATOMIC_SPECIES
Li 6.94 Li.upf
Zr 91.22 Zr.upf
Zn 65.41 Zn.upf
CELL_PARAMETERS angstrom
0.000 3.226 3.226
3.226 0.000 3.226
3.226 3.226 0.000
ATOMIC_POSITIONS crystal
Li 0.000 0.000 0.000
Zr 0.500 0.500 0.500
Zn 0.250 0.250 0.250
Zn 0.750 0.750 0.750

=====

Entry 12:
! Li2ZrZn | Alexandria via LeMat-Bulk | PBE | relaxed; values from VASP
! Total magnetic moment   0.0 μB/f.u.
! Formation energy   0.102 eV/atom
&SYSTEM
  ibrav = 0, nat = 4, ntyp = 3
/
ATOMIC_SPECIES
Li 6.94 Li.upf
Zr 91.22 Zr.upf
Zn 65.41 Zn.upf
CELL_PARAMETERS angstrom
4.614 -1.385 0.000
4.614 1.385 0.000
-0.703 0.000 5.708
ATOMIC_POSITIONS crystal
Li 0.000 0.000 0.000
Li 0.248 0.248 0.801
Zr 0.484 0.484 0.479
Zn 0.737 0.737 0.233

=====

Entry 13:
! LiZr2Zn | Alexandria via LeMat-Bulk | PBE | relaxed; values from VASP
! Total magnetic moment   0.0 μB/f.u.
! Formation energy   0.060 eV/atom
&SYSTEM
  ibrav = 0, nat = 4, ntyp = 3
/
ATOMIC_SPECIES
Li 6.94 Li.upf
Zr 91.22 Zr.upf
Zn 65.41 Zn.upf
CELL_PARAMETERS angstrom
1.602 0.925 9.428
-1.602 0.925 9.428
0.000 -1.849 9.428
ATOMIC_POSITIONS crystal
Li 0.000 0.000 0.000
Zr 0.240 0.240 0.240
Zr 0.487 0.487 0.487
Zn 0.739 0.739 0.739

=====

Entry 14:
! Li2ZrZn2 | Alexandria via LeMat-Bulk | PBE | relaxed; values from VASP
! Offset from the most stable computed form   0.00 eV/f.u.
! Total magnetic moment   0.0 μB/f.u.
! Formation energy   -0.109 eV/atom
&SYSTEM
  ibrav = 0, nat = 10, ntyp = 3
/
ATOMIC_SPECIES
Li 6.94 Li.upf
Zr 91.22 Zr.upf
Zn 65.41 Zn.upf
CELL_PARAMETERS angstrom
7.670 0.000 0.000
0.000 7.670 0.000
0.000 0.000 2.725
ATOMIC_POSITIONS crystal
Li 0.117 0.383 0.000
Li 0.383 0.883 0.000
Li 0.617 0.117 0.000
Li 0.883 0.617 0.000
Zr 0.000 0.000 0.000
Zr 0.500 0.500 0.000
Zn 0.182 0.682 0.500
Zn 0.318 0.182 0.500
Zn 0.682 0.818 0.500
Zn 0.818 0.318 0.500

=====

Entry 15:
! Li2ZrZn2 | Alexandria via LeMat-Bulk | PBE | relaxed; values from VASP
! Offset from the most stable computed form   0.27 eV/f.u.
! Total magnetic moment   0.0 μB/f.u.
! Formation energy   -0.056 eV/atom
&SYSTEM
  ibrav = 0, nat = 5, ntyp = 3
/
ATOMIC_SPECIES
Li 6.94 Li.upf
Zr 91.22 Zr.upf
Zn 65.41 Zn.upf
CELL_PARAMETERS angstrom
-1.828 1.828 6.402
1.828 -1.828 6.402
1.828 1.828 -6.402
ATOMIC_POSITIONS crystal
Li 0.250 0.750 0.500
Li 0.750 0.250 0.500
Zr 0.000 0.000 0.000
Zn 0.398 0.398 0.000
Zn 0.602 0.602 0.000

=====

Entry 16:
! LiZrZn2 | Alexandria via LeMat-Bulk | PBE | relaxed; values from VASP
! Offset from the most stable computed form   0.83 eV/f.u.
! Total magnetic moment   0.0 μB/f.u.
! Formation energy   0.006 eV/atom
&SYSTEM
  ibrav = 0, nat = 4, ntyp = 3
/
ATOMIC_SPECIES
Li 6.94 Li.upf
Zr 91.22 Zr.upf
Zn 65.41 Zn.upf
CELL_PARAMETERS angstrom
4.319 -1.456 0.000
4.319 1.456 0.000
-1.023 0.000 5.537
ATOMIC_POSITIONS crystal
Li 0.000 0.000 0.000
Zr 0.500 0.500 0.500
Zn 0.257 0.257 0.794
Zn 0.743 0.743 0.206

=====

Entry 17:
! LiZr2Zn | Alexandria via LeMat-Bulk | PBE | relaxed; values from VASP
! Total magnetic moment   0.0 μB/f.u.
! Formation energy   0.046 eV/atom
&SYSTEM
  ibrav = 0, nat = 4, ntyp = 3
/
ATOMIC_SPECIES
Li 6.94 Li.upf
Zr 91.22 Zr.upf
Zn 65.41 Zn.upf
CELL_PARAMETERS angstrom
2.923 0.000 0.000
0.000 4.044 0.000
-0.046 0.000 6.456
ATOMIC_POSITIONS crystal
Li 0.000 0.000 0.000
Zr 0.497 0.500 0.260
Zr 0.503 0.500 0.740
Zn 0.000 0.000 0.500

=====

Entry 18:
! LiZr2Zn3 | Alexandria via LeMat-Bulk | PBE | relaxed; values from VASP
! Total magnetic moment   0.0 μB/f.u.
! Formation energy   -0.222 eV/atom
&SYSTEM
  ibrav = 0, nat = 6, ntyp = 3
/
ATOMIC_SPECIES
Li 6.94 Li.upf
Zr 91.22 Zr.upf
Zn 65.41 Zn.upf
CELL_PARAMETERS angstrom
3.156 0.000 0.000
0.000 3.156 0.000
0.000 0.000 10.494
ATOMIC_POSITIONS crystal
Li 0.000 0.000 0.000
Zr 0.000 0.000 0.320
Zr 0.000 0.000 0.680
Zn 0.500 0.500 0.143
Zn 0.500 0.500 0.500
Zn 0.500 0.500 0.857

=====

Entry 19:
! LiZrZn2 | Alexandria via LeMat-Bulk | PBE | relaxed; values from VASP
! Offset from the most stable computed form   1.43 eV/f.u.
! Total magnetic moment   0.0 μB/f.u.
! Formation energy   0.156 eV/atom
&SYSTEM
  ibrav = 0, nat = 8, ntyp = 3
/
ATOMIC_SPECIES
Li 6.94 Li.upf
Zr 91.22 Zr.upf
Zn 65.41 Zn.upf
CELL_PARAMETERS angstrom
-3.554 3.554 2.842
3.554 -3.554 2.842
3.554 3.554 -2.842
ATOMIC_POSITIONS crystal
Li 0.000 0.000 0.000
Li 0.750 0.250 0.500
Zr 0.250 0.750 0.500
Zr 0.500 0.500 0.000
Zn 0.091 0.625 0.966
Zn 0.375 0.341 0.466
Zn 0.659 0.125 0.034
Zn 0.875 0.909 0.534

=====

Entry 20:
! LiZr2Zn | Alexandria via LeMat-Bulk | PBE | relaxed; values from VASP
! Total magnetic moment   0.0 μB/f.u.
! Formation energy   -0.048 eV/atom
&SYSTEM
  ibrav = 0, nat = 4, ntyp = 3
/
ATOMIC_SPECIES
Li 6.94 Li.upf
Zr 91.22 Zr.upf
Zn 65.41 Zn.upf
CELL_PARAMETERS angstrom
3.118 0.000 0.000
0.000 3.118 0.000
0.000 0.000 8.014
ATOMIC_POSITIONS crystal
Li 0.000 0.000 0.000
Zr 0.000 0.000 0.434
Zr 0.500 0.500 0.711
Zn 0.500 0.500 0.179